[1]
# Hf2Sc3Al3 | the Alexandria database | PBE-GGA | optimized geometry
data_Hf2Sc3Al3
_chemical_formula_sum 'Hf4 Sc6 Al6'
_symmetry_space_group_name_H-M 'I m m m'
_symmetry_Int_Tables_number 71
_symmetry_space_group_name_Hall '-I 2 2'
_cell_length_a 3.330
_cell_length_b 4.901
_cell_length_c 19.910
_cell_angle_alpha 90.00
_cell_angle_beta 90.00
_cell_angle_gamma 90.00
loop_
_atom_site_label
_atom_site_fract_x
_atom_site_fract_y
_atom_site_fract_z
_atom_site_occupancy
Hf1 0.000 0.000 0.239 1
Sc1 0.000 0.000 0.000 1
Sc2 0.000 0.500 0.124 1
Al1 0.000 0.000 0.500 1
Al2 0.000 0.500 0.380 1
# D(E_F) in states/eV per cell: 12.71
# ρ in g/cm³: 5.9
# DFT formation energy in meV per atom: -302
# Total magnetic moment in μB per formula unit: 0.000



[2]
# BaCaPN3 | the Alexandria database | PBE-GGA | optimized geometry
data_BaCaPN3
_chemical_formula_sum 'Ba4 Ca4 P4 N12'
_symmetry_space_group_name_H-M 'C 1 2/m 1'
_symmetry_Int_Tables_number 12
_cell_length_a 12.744
_cell_length_b 3.799
_cell_length_c 7.950
_cell_angle_alpha 90.00
_cell_angle_beta 108.08
_cell_angle_gamma 90.00
loop_
_symmetry_equiv_pos_as_xyz
'x,y,z'
'-x,-y,-z'
'-x,y,-z'
'x,-y,z'
'x+1/2,y+1/2,z'
'-x+1/2,-y+1/2,-z'
'-x+1/2,y+1/2,-z'
'x+1/2,-y+1/2,z'
loop_
_atom_site_label
_atom_site_fract_x
_atom_site_fract_y
_atom_site_fract_z
_atom_site_occupancy
Ba1 0.146 0.000 0.076 1
Ca1 0.146 0.000 0.565 1
P1 0.003 0.500 0.250 1
N1 0.001 0.000 0.268 1
N2 0.131 0.500 0.770 1
N3 0.139 0.500 0.355 1
# D(E_F) in states/eV per cell: 7.57
# ρ in g/cm³: 4.5
# Total magnetic moment in μB per formula unit: 0.000
# E_form (uncorrected) in meV per atom: -405.6



[3]
# La4Sm7Th | the Alexandria database | PBE-GGA | optimized geometry
data_La4Sm7Th
_chemical_formula_sum 'La4 Sm7 Th1'
_symmetry_space_group_name_H-M 'P -3 m 1'
_symmetry_Int_Tables_number 164
_symmetry_space_group_name_Hall '-P 3 2"'
_cell_length_a 3.6620
_cell_length_b 3.6620
_cell_length_c 35.9302
_cell_angle_alpha 90.00
_cell_angle_beta 90.00
_cell_angle_gamma 120.00
loop_
_atom_site_label
_atom_site_fract_x
_atom_site_fract_y
_atom_site_fract_z
_atom_site_occupancy
La1 0.3333 0.6667 0.1656 1
La2 0.3333 0.6667 0.4157 1
Sm1 0.0000 0.0000 0.2490 1
Sm2 0.0000 0.0000 0.5000 1
Sm3 0.3333 0.6667 0.6688 1
Sm4 0.3333 0.6667 0.9211 1
Th1 0.0000 0.0000 0.0000 1
# D(E_F) in states/eV per cell: 19.33
# ρ in g/cm³: 7.3
# DFT formation energy in meV per atom: 18
# Total magnetic moment in μB per formula unit: 0.000
# Polymorph energy (0 for the lowest one) in eV/atom: 0.000



[4]
# TiNi5Pt4 | the Alexandria database | PBE-GGA | optimized geometry
data_TiNi5Pt4
_chemical_formula_sum 'Ti2 Ni10 Pt8'
_symmetry_space_group_name_H-M 'C 1 2/m 1'
_symmetry_Int_Tables_number 12
_cell_length_a 9.345
_cell_length_b 3.912
_cell_length_c 7.781
_cell_angle_alpha 90.00
_cell_angle_beta 90.85
_cell_angle_gamma 90.00
loop_
_symmetry_equiv_pos_as_xyz
'x,y,z'
'-x,-y,-z'
'-x,y,-z'
'x,-y,z'
'x+1/2,y+1/2,z'
'-x+1/2,-y+1/2,-z'
'-x+1/2,y+1/2,-z'
'x+1/2,-y+1/2,z'
loop_
_atom_site_label
_atom_site_fract_x
_atom_site_fract_y
_atom_site_fract_z
_atom_site_occupancy
Ti1 0.000 0.000 0.000 1
Ni1 0.000 0.000 0.500 1
Ni2 0.172 0.500 0.532 1
Ni3 0.184 0.500 0.960 1
Pt1 0.033 0.500 0.244 1
Pt2 0.183 0.000 0.746 1
# D(E_F) in states/eV per cell: 30.85
# ρ in g/cm³: 13.1
# DFT formation energy in meV per atom: -129
# Total magnetic moment in μB per formula unit: 2.067



[5]
# LaAgSn2 | the Alexandria database | PBE-GGA | optimized geometry
data_LaAgSn2
_chemical_formula_sum 'La3 Ag3 Sn6'
_symmetry_space_group_name_H-M 'R -3 m'
_symmetry_Int_Tables_number 166
_symmetry_space_group_name_Hall '-R 3 2"'
_cell_length_a 3.4126
_cell_length_b 3.4126
_cell_length_c 33.1126
_cell_angle_alpha 90.00
_cell_angle_beta 90.00
_cell_angle_gamma 120.00
loop_
_atom_site_label
_atom_site_fract_x
_atom_site_fract_y
_atom_site_fract_z
_atom_site_occupancy
La1 0.0000 0.0000 0.0000 1
Ag1 0.0000 0.0000 0.5000 1
Sn1 0.0000 0.0000 0.0995 1
# D(E_F) in states/eV per cell: 15.28
# ρ in g/cm³: 7.2
# DFT formation energy in meV per atom: 83
# Total magnetic moment in μB per formula unit: 0.000



[6]
# YTm4P5 | the Alexandria database | PBE-GGA | optimized geometry
data_YTm4P5
_chemical_formula_sum 'Y2 Tm8 P10'
_symmetry_space_group_name_H-M 'I 4/m'
_symmetry_Int_Tables_number 87
_symmetry_space_group_name_Hall '-I 4'
_cell_length_a 8.859
_cell_length_b 8.859
_cell_length_c 5.604
_cell_angle_alpha 90.00
_cell_angle_beta 90.00
_cell_angle_gamma 90.00
loop_
_atom_site_label
_atom_site_fract_x
_atom_site_fract_y
_atom_site_fract_z
_atom_site_occupancy
Y1 0.000 0.000 0.000 1
Tm1 0.101 0.700 0.500 1
P1 0.000 0.000 0.500 1
P2 0.101 0.698 0.000 1
# D(E_F) in states/eV per cell: 1.23
# ρ in g/cm³: 6.9
# DFT formation energy in meV per atom: -1611
# Total magnetic moment in μB per formula unit: 0.000



no.,electronic total energy (eV/atom)
1,-6.57
2,-6.12
3,-5.00
4,-6.23
5,-3.86
6,-6.75